TaInCl2: optimized geometry, PBE.

POSCAR file:
```
TaInCl2
1.0
-2.181 2.181 8.993
2.181 -2.181 8.993
2.181 2.181 -8.993
Ta In Cl
2 2 4
Direct
0.000 0.000 0.000
0.750 0.250 0.500
0.250 0.750 0.500
0.500 0.500 0.000
0.087 0.625 0.962
0.375 0.337 0.462
0.663 0.125 0.038
0.875 0.913 0.538
```

Output
Crystal system = tetragonal
Offset from the most stable computed form = 629 meV per atom
E_form (uncorrected) = 116 meV per atom